This record from the Alexandria database describes a relaxed YZrAg crystal. The functional is GGA-PBE.

Cell: 7.250 4.721 8.638 Å, 90.00 90.00 90.00°
Element x y z (fractional)
1 Y 0.033 0.250 0.180
2 Y 0.467 0.750 0.680
3 Y 0.533 0.250 0.320
4 Y 0.967 0.750 0.820
5 Zr 0.132 0.250 0.564
6 Zr 0.368 0.750 0.064
7 Zr 0.632 0.250 0.936
8 Zr 0.868 0.750 0.436
9 Ag 0.245 0.250 0.878
10 Ag 0.255 0.750 0.378
11 Ag 0.745 0.250 0.622
12 Ag 0.755 0.750 0.122

Properties
N(E_F) = 3.67 states/eV/f.u.
Polymorph energy (0 for the lowest one) = 107 meV/atom
E = -5.99 eV per atom
SG = Pnma
V = 24.6 A^3/atom
E_form = -40 meV/atom